# Na2AlOs, optimized geometry, DFT PBE
# Fermi-level density of states (states/eV per cell): 9.141
# ΔE_f (meV per atom): 941
# Calculated total energy (eV/atom): -3.46
data_Na2AlOs
_chemical_formula_sum 'Na8 Al4 Os4'
_cell_length_a 8.166
_cell_length_b 8.166
_cell_length_c 4.981
_cell_angle_alpha 90.00
_cell_angle_beta 90.00
_cell_angle_gamma 90.00
_space_group_name_H-M_alt 'I -4 2 d'
_space_group_IT_number 122
_space_group_name_Hall 'I -4 2bw'
loop_
_atom_site_label
_atom_site_type_symbol
_atom_site_fract_x
_atom_site_fract_y
_atom_site_fract_z
Na1 Na 0.246 0.250 0.125
Al1 Al 0.000 0.000 0.500
Os1 Os 0.000 0.000 0.000